Record 1
Density functional theory data (PBE-GGA) for crystalline TlTcI3 at its relaxed geometry.

E: -3.424 eV per atom
Formation energy from raw total energies: 0.052 eV/atom
D(E_F): 3.1 states/eV per cell

a b c (Å): 5.6557 5.6557 5.6557
angles (deg): 90.00 90.00 90.00
With the nearest neighbours (Å) after each atom.
Space group Pm-3m (No. 221)
Unique sites:
Tl  0.0000  0.0000  0.0000 [1 per cell]  12 I 4.00
Tc  0.5000  0.5000  0.5000 [1 per cell]  6 I 2.83
I  0.0000  0.5000  0.5000 [3 per cell]  2 Tc 2.83



Record 2
Density functional theory data (PBE-GGA) for crystalline TlTc2I at its relaxed geometry.

E: -5.110 eV per atom
Formation energy from raw total energies: 1.052 eV/atom
D(E_F): 16.0 states/eV per cell

a b c (Å): 6.6531 6.6531 6.6531
angles (deg): 90.00 90.00 90.00
With the nearest neighbours (Å) after each atom.
Space group Fm-3m (No. 225)
Unique sites:
Tl  0.0000  0.0000  0.0000 [4 per cell]  8 Tc 2.88
Tc  0.2500  0.2500  0.2500 [8 per cell]  4 Tl 2.88, 4 I 2.88
I  0.0000  0.0000  0.5000 [4 per cell]  8 Tc 2.88



> Among the records above, which one has the highest E?

TlTcI3



> What is the D(E_F) in the second record?

16.0 states/eV per cell